[1]
{
  "formula": "OsRu2W",
  "functional": "PBE",
  "state": "optimized geometry",
  "cell": [[-2.8993, 0.2200, -1.5041], [0.4160, -3.0006, -1.2408], [-2.4874, -2.1948, 4.4738]],
  "species": ["Os", "Ru", "Ru", "W"],
  "frac_coords": [[0.5000, 0.5000, 0.7500], [0.0000, 0.0000, 0.9971], [0.0000, 0.0000, 0.5029], [0.5000, 0.5000, 0.2500]],
  "relative_energy_kj_per_mol_fu": 165,
  "space_group": "No. 123",
  "n_ef_per_ev_cell": 5.58,
  "e_form_kj_per_mol_atoms": 40
}

---

[2]
{
  "formula": "PaCuSiC",
  "functional": "PBE",
  "state": "optimized geometry",
  "cell": [[3.7339, 0.0000, 0.0000], [0.0000, 3.7339, 0.0000], [0.0000, 0.0000, 8.4698]],
  "species": ["Pa", "Pa", "Cu", "Cu", "Si", "Si", "C", "C"],
  "frac_coords": [[0.0000, 0.5000, 0.8437], [0.5000, 0.0000, 0.1563], [0.0000, 0.0000, 0.5000], [0.5000, 0.5000, 0.5000], [0.0000, 0.5000, 0.3351], [0.5000, 0.0000, 0.6649], [0.5000, 0.0000, 0.8830], [0.0000, 0.5000, 0.1170]],
  "space_group": "No. 129",
  "n_ef_per_ev_cell": 3.69,
  "e_form_raw_kj_per_mol_fu": -168
}

---

[3]
{
  "formula": "CsSbRh3",
  "functional": "PBE",
  "state": "optimized geometry",
  "cell": [[-0.6595, 1.9058, 4.5487], [-4.7483, 0.9948, -1.1052], [-1.3328, -4.4873, 1.6868]],
  "species": ["Cs", "Sb", "Rh", "Rh", "Rh"],
  "frac_coords": [[0.0000, 0.0000, 0.0000], [0.5000, 0.5000, 0.5000], [0.0000, 0.5000, 0.0000], [0.0000, 0.0000, 0.5000], [0.5000, 0.0000, 0.0000]],
  "relative_energy_kj_per_mol_fu": 591,
  "space_group": "No. 221",
  "n_ef_per_ev_cell": 3.21,
  "e_form_raw_kj_per_mol_fu": 895
}

---

[4]
{
  "formula": "ZnTc3N",
  "functional": "PBE",
  "state": "optimized geometry",
  "cell": [[1.1776, -10.3519, -14.7925], [-1.8721, -4.0113, 2.6581], [-3.1145, 4.7621, 4.9928]],
  "species": ["Zn", "Zn", "Zn", "Zn", "Tc", "Tc", "Tc", "Tc", "Tc", "Tc", "Tc", "Tc", "Tc", "Tc", "Tc", "Tc", "N", "N", "N", "N"],
  "frac_coords": [[0.9486, 0.1715, 0.2632], [0.0514, 0.8285, 0.7368], [0.5514, 0.6715, 0.2368], [0.4486, 0.3285, 0.7632], [0.2929, 0.9474, 0.9569], [0.7071, 0.0526, 0.0431], [0.2071, 0.4474, 0.5431], [0.7929, 0.5526, 0.4569], [0.2831, 0.4753, 0.0662], [0.7169, 0.5247, 0.9338], [0.2169, 0.9753, 0.4338], [0.7831, 0.0247, 0.5662], [0.4386, 0.8295, 0.6650], [0.5614, 0.1705, 0.3350], [0.0614, 0.3295, 0.8350], [0.9386, 0.6705, 0.1650], [0.5031, 0.7568, 0.5529], [0.4969, 0.2432, 0.4471], [0.9969, 0.2568, 0.9471], [0.0031, 0.7432, 0.0529]],
  "relative_energy_kj_per_mol_fu": 64,
  "space_group": "No. 14",
  "n_ef_per_ev_cell": 10.61,
  "e_form_raw_kj_per_mol_fu": 75
}

---

[5]
{
  "formula": "Y2MgS4",
  "functional": "PBE",
  "state": "optimized geometry",
  "cell": [[-0.0428, -6.0315, -3.9776], [6.8377, 1.3243, 1.9220], [-4.1400, -0.8298, 5.8630]],
  "species": ["Y", "Y", "Y", "Y", "Mg", "Mg", "S", "S", "S", "S", "S", "S", "S", "S"],
  "frac_coords": [[0.8750, 0.7669, 0.3919], [0.5169, 0.1250, 0.8919], [0.3750, 0.4831, 0.6081], [0.2331, 0.6250, 0.1081], [0.0000, 0.0000, 0.0000], [0.7500, 0.2500, 0.5000], [0.5148, 0.3803, 0.2653], [0.7505, 0.4852, 0.8655], [0.1150, 0.2495, 0.7347], [0.6197, 0.8850, 0.1345], [0.2352, 0.0005, 0.3655], [0.9995, 0.3650, 0.2347], [0.6350, 0.8697, 0.6345], [0.1303, 0.7648, 0.7653]],
  "relative_energy_kj_per_mol_fu": 52,
  "space_group": "No. 122",
  "n_ef_per_ev_cell": 0.00,
  "e_form_raw_kj_per_mol_fu": -1227
}

---

[6]
{
  "formula": "YHoAgGe",
  "functional": "PBE",
  "state": "optimized geometry",
  "cell": [[-3.3510, 1.6961, 3.4138], [-1.4028, -2.9682, 3.8706], [1.5171, 1.0957, 4.7178]],
  "species": ["Y", "Ge", "Ho", "Ag"],
  "frac_coords": [[0.5000, 0.5000, 0.5000], [0.2500, 0.2500, 0.2500], [0.0000, 0.0000, 0.0000], [0.7500, 0.7500, 0.7500]],
  "space_group": "No. 216",
  "n_ef_per_ev_cell": 3.44,
  "e_form_kj_per_mol_atoms": -52
}

---

[7]
{
  "formula": "TbSm6Tm4",
  "functional": "PBE",
  "state": "optimized geometry",
  "cell": [[6.6055, 0.0000, 0.0000], [0.0000, 6.6055, 0.0000], [-3.3028, -3.3028, 8.5334]],
  "species": ["Tb", "Sm", "Sm", "Sm", "Sm", "Sm", "Sm", "Tm", "Tm", "Tm", "Tm"],
  "frac_coords": [[0.5000, 0.5000, 0.0000], [0.8644, 0.4872, 0.3517], [0.4872, 0.8644, 0.3517], [0.5128, 0.5128, 0.6483], [0.0000, 0.5000, 0.0000], [0.1356, 0.1356, 0.6483], [0.5000, 0.0000, 0.0000], [0.0516, 0.6925, 0.7441], [0.9484, 0.9484, 0.2559], [0.6925, 0.0516, 0.7441], [0.3075, 0.3075, 0.2559]],
  "relative_energy_kj_per_mol_fu": 207,
  "space_group": "No. 121",
  "n_ef_per_ev_cell": 16.70,
  "e_form_kj_per_mol_atoms": 30
}

---

[8]
{
  "formula": "SrBiB3",
  "functional": "PBE",
  "state": "optimized geometry",
  "cell": [[-3.7521, -2.6219, 1.6977], [3.1209, -3.0388, 2.2046], [-0.1273, 2.7796, 4.0116]],
  "species": ["Sr", "B", "B", "B", "Bi"],
  "frac_coords": [[0.0000, 0.0000, 0.0000], [0.0000, 0.5000, 0.0000], [0.0000, 0.0000, 0.5000], [0.5000, 0.0000, 0.0000], [0.5000, 0.5000, 0.5000]],
  "relative_energy_kj_per_mol_fu": 358,
  "space_group": "No. 221",
  "n_ef_per_ev_cell": 3.33,
  "e_form_kj_per_mol_atoms": 243
}

---

[9]
{
  "formula": "AsIr4",
  "functional": "PBE",
  "state": "optimized geometry",
  "cell": [[4.5030, 0.0000, 0.0000], [0.0000, 4.5030, 0.0000], [0.0000, 0.0000, 4.5030]],
  "species": ["As", "Ir", "Ir", "Ir", "Ir"],
  "frac_coords": [[0.5000, 0.5000, 0.5000], [0.0000, 0.0000, 0.0000], [0.5000, 0.0000, 0.5000], [0.0000, 0.5000, 0.5000], [0.5000, 0.5000, 0.0000]],
  "relative_energy_kj_per_mol_fu": 617,
  "space_group": "No. 221",
  "n_ef_per_ev_cell": 7.97,
  "e_form_kj_per_mol_atoms": 146
}

---

[10]
{
  "formula": "CeMg2In4",
  "functional": "PBE",
  "state": "optimized geometry",
  "cell": [[4.9969, 0.0000, 0.0000], [0.0000, 4.9969, 0.0000], [0.0000, 0.0000, 7.3694]],
  "species": ["Ce", "Mg", "Mg", "In", "In", "In", "In"],
  "frac_coords": [[0.5000, 0.5000, 0.0000], [0.0000, 0.0000, 0.0000], [0.5000, 0.5000, 0.5000], [0.5000, 0.0000, 0.2835], [0.0000, 0.5000, 0.7165], [0.5000, 0.0000, 0.7165], [0.0000, 0.5000, 0.2835]],
  "space_group": "No. 123",
  "n_ef_per_ev_cell": 7.83,
  "e_form_kj_per_mol_atoms": -21
}

---

[11]
{
  "formula": "Sc2CuOs",
  "functional": "PBE",
  "state": "optimized geometry",
  "cell": [[0.0000, 3.2316, 3.2316], [3.2316, 0.0000, 3.2316], [3.2316, 3.2316, 0.0000]],
  "species": ["Sc", "Sc", "Os", "Cu"],
  "frac_coords": [[0.2500, 0.2500, 0.2500], [0.7500, 0.7500, 0.7500], [0.5000, 0.5000, 0.5000], [0.0000, 0.0000, 0.0000]],
  "relative_energy_kj_per_mol_fu": 0,
  "space_group": "No. 225",
  "n_ef_per_ev_cell": 2.92,
  "e_form_kj_per_mol_atoms": -40
}

---

[12]
{
  "formula": "HgRh",
  "functional": "PBE",
  "state": "optimized geometry",
  "cell": [[1.4867, -2.5750, 0.0000], [1.4867, 2.5750, 0.0000], [0.0000, 0.0000, 4.5736]],
  "species": ["Hg", "Rh"],
  "frac_coords": [[0.0000, 0.0000, 0.0000], [0.3333, 0.6667, 0.5000]],
  "space_group": "No. 187",
  "n_ef_per_ev_cell": 0.88,
  "e_form_kj_per_mol_atoms": 25
}